1.
DFT (PBE-GGA) results for a relaxed RbCaTi2H crystal.

The structure in extended XYZ format:
```
5
Lattice="5.964 0.000 0.000 0.000 4.346 0.000 0.000 0.000 5.964" Properties=species:S:1:pos:R:3 pbc="T T T"
Ca 2.982 2.173 2.982
Ti 2.982 0.000 0.000
Ti 0.000 0.000 2.982
H 0.000 2.173 0.000
Rb 0.000 0.000 0.000
```

Summary:
VASP energy	-13.64	eV/cell


2.
DFT (PBE-GGA) results for a relaxed Tl12Te3Au5 crystal.

The structure in extended XYZ format:
```
80
Lattice="-8.586 11.901 -5.177 -9.373 -11.316 5.124 9.113 4.856 11.642" Properties=species:S:1:pos:R:3 pbc="T T T"
Te -0.031 0.152 12.095
Tl -2.428 8.404 4.434
Tl -9.429 -1.735 2.066
Te -2.046 6.837 7.417
Tl -7.138 1.870 5.020
Tl -2.929 12.974 3.019
Tl -6.002 9.349 2.275
Tl 6.454 5.709 10.695
Tl -6.299 0.143 1.191
Au 0.264 8.379 3.232
Tl -3.353 0.771 11.808
Tl -2.547 5.299 10.397
Tl -9.414 -0.885 6.261
Au -0.130 -3.230 8.383
Tl -7.650 5.992 2.594
Tl -4.992 -2.589 12.135
Au 0.034 1.767 7.903
Au -6.536 6.983 7.404
Tl -5.494 4.670 -0.220
Tl -7.886 -0.604 9.678
Tl -6.418 -2.963 7.154
Tl -8.464 5.322 8.668
Au -9.209 -6.319 4.644
Te -6.800 -1.395 4.171
Tl -0.708 14.153 5.846
Au -4.160 10.620 4.027
Te -2.440 -4.771 12.567
Tl -3.245 3.298 3.154
Tl -9.088 8.576 0.283
Tl -0.382 0.120 2.921
Tl -1.906 -1.806 14.123
Tl -4.704 5.654 5.686
Tl 1.831 1.306 5.751
Au -8.880 3.675 3.685
Te -8.815 5.289 -0.506
Tl -2.844 -3.908 9.313
Tl -1.708 3.571 6.568
Te 0.099 3.382 3.712
Tl 1.211 2.740 10.300
Tl 3.304 -0.150 11.557
Tl -5.601 2.144 8.434
Tl -1.501 10.074 8.268
Tl 0.568 6.327 5.327
Tl -5.917 -7.532 8.569
Au -4.424 2.241 0.795
Tl -3.854 8.031 -0.546
Tl -4.214 -2.750 2.456
Au 2.443 6.691 7.430
Tl -13.088 0.908 3.728
Tl -10.677 4.135 5.838
Au 0.363 11.760 6.944
Au -4.422 3.201 10.794
Au -4.293 5.951 -2.589
Tl -4.142 -0.212 5.902
Te -4.554 -0.989 9.178
Te 4.557 2.908 10.820
Tl -8.138 -8.711 5.742
Au -4.423 2.721 5.794
Tl -7.345 -4.632 3.320
Au -4.687 -5.658 2.562
Tl -10.057 2.701 1.289
Tl 4.242 4.533 7.861
Te -6.406 10.213 -0.979
Au -8.980 0.293 -0.027
Au -2.310 -1.542 4.185
Tl 0.583 7.176 9.522
Te -13.403 2.534 0.768
Au 0.000 0.000 0.000
Tl -15.300 -0.268 0.893
Au 4.556 2.428 5.821
Te -8.945 2.060 7.877
Au -11.289 -1.249 4.158
Tl -1.196 -0.550 8.994
Tl 0.242 -3.135 11.306
Te -4.292 6.430 2.411
Tl -4.632 8.191 9.132
Tl -0.960 6.045 1.910
Tl -12.150 5.591 0.032
Au -4.686 -5.178 7.561
Tl -6.940 7.247 -2.534
```

Summary:
formation energy without anion corrections	-1.07	kcal/mol of atoms


3.
DFT (PBE-GGA) results for a relaxed AsP2Ru crystal.

The structure in extended XYZ format:
```
4
Lattice="7.526 1.037 -0.049 5.825 4.877 0.049 -6.598 -3.133 2.092" Properties=species:S:1:pos:R:3 pbc="T T T"
As 3.680 2.673 1.070
P 2.888 0.026 1.022
P 12.896 5.712 0.000
Ru 7.316 3.241 0.000
```

Summary:
VASP energy	-24.26	eV/cell